# K2ScF6 | the Alexandria database | PBE | optimized geometry
data_K2ScF6
_cell_length_a 6.262
_cell_length_b 6.262
_cell_length_c 8.834
_cell_angle_alpha 90.00
_cell_angle_beta 90.00
_cell_angle_gamma 120.00
_space_group_name_H-M_alt 'P 1'
_space_group_IT_number 1
_space_group_name_Hall 'P 1'
loop_
_atom_site_label
_atom_site_type_symbol
_atom_site_fract_x
_atom_site_fract_y
_atom_site_fract_z
_atom_site_occupancy
K1 K 0.000 0.000 0.000 1
K2 K 0.000 0.000 0.500 1
K3 K 0.333 0.667 0.250 1
K4 K 0.667 0.333 0.750 1
Sc1 Sc 0.333 0.667 0.669 1
Sc2 Sc 0.667 0.333 0.169 1
F1 F 0.037 0.519 0.524 1
F2 F 0.166 0.333 0.766 1
F3 F 0.166 0.834 0.766 1
F4 F 0.333 0.166 0.266 1
F5 F 0.481 0.519 0.524 1
F6 F 0.481 0.963 0.524 1
F7 F 0.519 0.037 0.024 1
F8 F 0.519 0.481 0.024 1
F9 F 0.667 0.834 0.766 1
F10 F 0.834 0.166 0.266 1
F11 F 0.834 0.667 0.266 1
F12 F 0.963 0.481 0.024 1
# Energy relative to the elements, uncorrected ... -26.787 eV/f.u.
# Uncorrected energy ... -0.38009 Ry/atom
# Mass density ... 2.63 Mg/m³